No. 1
! PBE LiInRePd2, relaxed; values from VASP
! - DFT formation energy: 945.8 meV per atom
&SYSTEM
  ibrav = 0, nat = 5, ntyp = 4
/
ATOMIC_SPECIES
Li 6.94 Li.upf
In 114.82 In.upf
Re 186.21 Re.upf
Pd 106.42 Pd.upf
CELL_PARAMETERS angstrom
4.821 0.000 0.000
0.000 4.821 0.000
0.000 0.000 4.775
ATOMIC_POSITIONS crystal
Li 0.000 0.000 0.000
In 0.500 0.500 0.000
Re 0.000 0.000 0.500
Pd 0.000 0.500 0.500
Pd 0.500 0.000 0.500

No. 2
! PBE LiIn4Pd2Rh, relaxed; values from VASP
! - DFT formation energy: -441.0 meV per atom
&SYSTEM
  ibrav = 0, nat = 8, ntyp = 4
/
ATOMIC_SPECIES
Li 6.94 Li.upf
In 114.82 In.upf
Pd 106.42 Pd.upf
Rh 102.91 Rh.upf
CELL_PARAMETERS angstrom
2.331 1.346 7.571
-2.331 1.346 7.571
0.000 -2.691 7.571
ATOMIC_POSITIONS crystal
Li 0.000 0.000 0.000
In 0.129 0.129 0.129
In 0.377 0.377 0.377
In 0.623 0.623 0.623
In 0.871 0.871 0.871
Pd 0.254 0.254 0.254
Pd 0.746 0.746 0.746
Rh 0.500 0.500 0.500

No. 3
! PBE Li2InPdRu, relaxed; values from VASP
! - DFT formation energy: 410.2 meV per atom
&SYSTEM
  ibrav = 0, nat = 5, ntyp = 4
/
ATOMIC_SPECIES
Li 6.94 Li.upf
In 114.82 In.upf
Pd 106.42 Pd.upf
Ru 101.07 Ru.upf
CELL_PARAMETERS angstrom
4.352 0.000 0.000
0.000 4.352 0.000
0.000 0.000 5.066
ATOMIC_POSITIONS crystal
Li 0.000 0.500 0.000
Li 0.500 0.000 0.000
In 0.000 0.000 0.500
Pd 0.500 0.500 0.000
Ru 0.500 0.500 0.500

No. 4
! PBE LiIn2PdS, relaxed; values from VASP
! - Formation energy (no corrections): 0.10 eV/atom
&SYSTEM
  ibrav = 0, nat = 5, ntyp = 4
/
ATOMIC_SPECIES
Li 6.94 Li.upf
In 114.82 In.upf
Pd 106.42 Pd.upf
S 32.06 S.upf
CELL_PARAMETERS angstrom
5.247 0.000 0.000
0.000 5.247 0.000
0.000 0.000 4.060
ATOMIC_POSITIONS crystal
Li 0.000 0.000 0.000
In 0.000 0.500 0.000
In 0.500 0.000 0.000
Pd 0.500 0.500 0.500
S 0.000 0.000 0.500

No. 5
! PBE LiInSbPd, relaxed; values from VASP
! - Formation energy (no corrections): -0.36 eV/atom
&SYSTEM
  ibrav = 0, nat = 16, ntyp = 4
/
ATOMIC_SPECIES
Li 6.94 Li.upf
In 114.82 In.upf
Sb 121.76 Sb.upf
Pd 106.42 Pd.upf
CELL_PARAMETERS angstrom
6.785 0.000 0.000
0.000 6.785 0.000
0.000 0.000 6.785
ATOMIC_POSITIONS crystal
Li 0.000 0.000 0.000
Li 0.000 0.500 0.500
Li 0.500 0.000 0.500
Li 0.500 0.500 0.000
In 0.250 0.250 0.250
In 0.250 0.750 0.750
In 0.750 0.250 0.750
In 0.750 0.750 0.250
Sb 0.250 0.250 0.750
Sb 0.250 0.750 0.250
Sb 0.750 0.250 0.250
Sb 0.750 0.750 0.750
Pd 0.000 0.000 0.500
Pd 0.000 0.500 0.000
Pd 0.500 0.000 0.000
Pd 0.500 0.500 0.500

No. 6
! PBE LiInSiPd, relaxed; values from VASP
! - Formation energy (no corrections): -0.27 eV/atom
&SYSTEM
  ibrav = 0, nat = 16, ntyp = 4
/
ATOMIC_SPECIES
Li 6.94 Li.upf
In 114.82 In.upf
Si 28.09 Si.upf
Pd 106.42 Pd.upf
CELL_PARAMETERS angstrom
6.377 0.000 0.000
0.000 6.377 0.000
0.000 0.000 6.377
ATOMIC_POSITIONS crystal
Li 0.000 0.000 0.000
Li 0.000 0.500 0.500
Li 0.500 0.000 0.500
Li 0.500 0.500 0.000
In 0.250 0.250 0.250
In 0.250 0.750 0.750
In 0.750 0.250 0.750
In 0.750 0.750 0.250
Si 0.250 0.250 0.750
Si 0.250 0.750 0.250
Si 0.750 0.250 0.250
Si 0.750 0.750 0.750
Pd 0.000 0.000 0.500
Pd 0.000 0.500 0.000
Pd 0.500 0.000 0.000
Pd 0.500 0.500 0.500

| no. | D(E_F) (states/eV/cell) |
| --- | --- |
| 1 | 4.43 |
| 2 | 3.32 |
| 3 | 2.85 |
| 4 | 1.42 |
| 5 | 13.08 |
| 6 | 6.03 |